Compound: CaCo3Rh
Source: Alexandria via LeMat-Bulk
Functional: PBE
Structure: optimized geometry

abc: 4.6166 4.6166 4.6166
angles: 90.00 90.00 90.00
Last column: nearest neighbours and their distance in Å.
Fractional coordinates of all 5 atoms:
1 Ca 0.0000 0.0000 0.0000  12 Co 3.26
2 Co 0.0000 0.5000 0.5000  2 Rh 2.31
3 Co 0.5000 0.0000 0.5000  2 Rh 2.31
4 Co 0.5000 0.5000 0.0000  2 Rh 2.31
5 Rh 0.5000 0.5000 0.5000  6 Co 2.31

formation energy from the elements = 3.6 eV/f.u.
crystal system = cubic